Density functional theory data (PBE-GGA) for an optimized crystal structure of CaLa5Pr6.

Lattice parameters (Å, degrees): 11.823 15.836 5.298 90.00 116.54 90.00
Space group C2/m (No. 12)
One atom of each set of equivalent atoms:
Ca 0.000 0.000 0.000 [2 per cell]
La 0.000 0.172 0.500 [4 per cell]
La 0.000 0.332 0.000 [4 per cell]
La 0.000 0.500 0.500 [2 per cell]
Pr 0.241 0.500 0.241 [4 per cell]
Pr 0.247 0.332 0.747 [8 per cell]

E_tot = -0.3370 Ry per atom
energy relative to the elements = 0.3 eV/f.u.
mass density = 5.91 g/cm3
volume = 887.4 Å³ per cell